Sr4Br6O: relaxed, PBEsol.

The energy above the lowest structure with this stoichiometry comes out at 0 meV/atom. The calculation puts the energy relative to the elements, uncorrected at -2.30 eV/atom.

The structure belongs to space group P6_3mc (No. 186); the cell edges are 9.7917, 9.7917 and 7.5105 Å and the angles 90.00°, 90.00° and 120.00°. The inequivalent atoms are Sr at (0.2004, 0.4009, 0.0000), Sr at (0.3333, 0.6667, 0.5859), Br at (0.0674, 0.5337, 0.2951), Br at (0.1392, 0.2784, 0.6139) and O at (0.3333, 0.6667, 0.9005).